No. 1
First-principles (PBE-GGA) data for a geometry-optimized Mn3C structure, as listed in the Alexandria database.

Lattice parameters (Å, degrees): 2.7687 2.7687 19.0053 90.00 90.00 120.00
Space group R-3m (No. 166, hexagonal axes)
Symmetry-distinct sites (fractional):
1 Mn 0.0000 0.0000 0.0000 [3 per cell]
2 Mn 0.0000 0.0000 0.2239 [6 per cell]
3 C 0.0000 0.0000 0.5000 [3 per cell]

energy of formation: 0.7 eV per formula unit
total energy: -9.0136 eV/atom

---

No. 2
First-principles (PBE-GGA) data for a geometry-optimized Mn3C structure, as listed in the Alexandria database.

Lattice parameters (Å, degrees): 2.625 8.315 6.718 90.00 90.00 90.00
Space group Cmcm (No. 63)
Symmetry-distinct sites (fractional):
1 Mn 0.000 0.084 0.250 [4 per cell]
2 Mn 0.000 0.368 0.070 [8 per cell]
3 C 0.000 0.237 0.750 [4 per cell]

energy of formation: -0.1 eV per formula unit
total energy: -9.2204 eV/atom

---

No. 3
First-principles (PBE-GGA) data for a geometry-optimized MnC structure, as listed in the Alexandria database.

Lattice parameters (Å, degrees): 3.489 7.011 2.554 90.00 90.00 90.00
Space group Cmcm (No. 63)
Symmetry-distinct sites (fractional):
1 Mn 0.000 0.164 0.250 [4 per cell]
2 C 0.000 0.441 0.250 [4 per cell]

energy of formation: 0.9 eV per formula unit
total energy: -8.7253 eV/atom

---

No. 4
First-principles (PBE-GGA) data for a geometry-optimized Mn5C structure, as listed in the Alexandria database.

Lattice parameters (Å, degrees): 2.680 13.257 6.856 90.00 90.00 90.00
Space group Cmcm (No. 63)
Symmetry-distinct sites (fractional):
1 Mn 0.000 0.000 0.000 [4 per cell]
2 Mn 0.000 0.186 0.070 [8 per cell]
3 Mn 0.000 0.371 0.250 [4 per cell]
4 Mn 0.000 0.437 0.750 [4 per cell]
5 C 0.000 0.248 0.750 [4 per cell]

energy of formation: 0.7 eV per formula unit
total energy: -9.0616 eV/atom

---

No. 5
First-principles (PBE-GGA) data for a geometry-optimized Mn3C4 structure, as listed in the Alexandria database.

Lattice parameters (Å, degrees): 2.593 2.593 15.834 90.00 90.00 90.00
Space group I4/mmm (No. 139)
Symmetry-distinct sites (fractional):
1 Mn 0.000 0.000 0.000 [2 per cell]
2 Mn 0.000 0.000 0.310 [4 per cell]
3 C 0.000 0.000 0.145 [4 per cell]
4 C 0.000 0.000 0.434 [4 per cell]

energy of formation: 6.4 eV per formula unit
total energy: -8.2792 eV/atom

---

No. 6
First-principles (PBE-GGA) data for a geometry-optimized Mn3C4 structure, as listed in the Alexandria database.

Lattice parameters (Å, degrees): 3.947 3.947 3.947 90.00 90.00 90.00
Space group Pm-3m (No. 221)
Symmetry-distinct sites (fractional):
1 Mn 0.000 0.000 0.500 [3 per cell]
2 C 0.000 0.000 0.000 [1 per cell]
3 C 0.000 0.500 0.500 [3 per cell]

energy of formation: 5.6 eV per formula unit
total energy: -8.3988 eV/atom

---

No. 7
First-principles (PBE-GGA) data for a geometry-optimized MnC structure, as listed in the Alexandria database.

Lattice parameters (Å, degrees): 3.3219 3.3219 11.2264 90.00 90.00 120.00
Space group R-3m (No. 166, hexagonal axes)
Symmetry-distinct sites (fractional):
1 Mn 0.0000 0.0000 0.2440 [6 per cell]
2 C 0.0000 0.0000 0.0705 [6 per cell]

energy of formation: 0.9 eV per formula unit
total energy: -8.7297 eV/atom

---

No. 8
First-principles (PBE-GGA) data for a geometry-optimized MnC2 structure, as listed in the Alexandria database.

Lattice parameters (Å, degrees): 2.5517 2.5517 12.1985 90.00 90.00 120.00
Space group R-3m (No. 166, hexagonal axes)
Symmetry-distinct sites (fractional):
1 Mn 0.0000 0.0000 0.0000 [3 per cell]
2 C 0.0000 0.0000 0.1795 [6 per cell]

energy of formation: 1.6 eV per formula unit
total energy: -8.6638 eV/atom

---

No. 9
First-principles (PBE-GGA) data for a geometry-optimized MnC2 structure, as listed in the Alexandria database.

Lattice parameters (Å, degrees): 4.696 4.696 4.696 90.00 90.00 90.00
Space group Fm-3m (No. 225)
Symmetry-distinct sites (fractional):
1 Mn 0.000 0.000 0.000 [4 per cell]
2 C 0.250 0.250 0.250 [8 per cell]

energy of formation: 5.0 eV per formula unit
total energy: -7.5251 eV/atom

---

No. 10
First-principles (PBE-GGA) data for a geometry-optimized MnC2 structure, as listed in the Alexandria database.

Lattice parameters (Å, degrees): 2.776 4.280 4.375 90.00 90.00 90.00
Space group Immm (No. 71)
Symmetry-distinct sites (fractional):
1 Mn 0.000 0.000 0.000 [2 per cell]
2 C 0.000 0.158 0.500 [4 per cell]

energy of formation: 2.3 eV per formula unit
total energy: -8.4294 eV/atom

---

No. 11
First-principles (PBE-GGA) data for a geometry-optimized MnC structure, as listed in the Alexandria database.

Lattice parameters (Å, degrees): 5.144 5.144 5.144 90.00 90.00 90.00
Space group Fd-3m (No. 227, origin choice 2)
Symmetry-distinct sites (fractional):
1 Mn 0.125 0.125 0.125 [8 per cell]
2 C 0.125 0.125 0.625 [8 per cell]

energy of formation: 3.4 eV per formula unit
total energy: -7.4766 eV/atom

---

No. 12
First-principles (PBE-GGA) data for a geometry-optimized MnMoC2 structure, as listed in the Alexandria database.

Lattice parameters (Å, degrees): 5.251 5.251 5.251 90.00 90.00 90.00
Space group Fm-3m (No. 225)
Symmetry-distinct sites (fractional):
1 Mn 0.000 0.000 0.000 [4 per cell]
2 Mo 0.000 0.000 0.500 [4 per cell]
3 C 0.250 0.250 0.250 [8 per cell]

energy of formation: 3.2 eV per formula unit
total energy: -8.8234 eV/atom

---

What is the formula in the third record? MnC